# 1
Zn3GaAu: optimized geometry, PBE.

Unit cell a=4.7488 b=4.7488 c=4.7488 alpha=90.00 beta=90.00 gamma=90.00
With the nearest neighbours (Å) after each atom.
Fractional positions:
Zn 0.0000 0.0000 0.5000  2 Ga 2.37
Au 0.5000 0.5000 0.5000  12 Zn 3.36
Ga 0.0000 0.0000 0.0000  6 Zn 2.37
Zn 0.0000 0.5000 0.0000  2 Ga 2.37
Zn 0.5000 0.0000 0.0000  2 Ga 2.37

The calculation puts the total magnetization at 0.0 μB per formula unit. As for the energy above the most stable polymorph in this dataset: 446 meV per atom. As for the formation enthalpy at 0 K: 0.386 eV/atom. The crystal system is cubic. Its energy is -8.20 eV per cell.

# 2
Zn6GaAu3: optimized geometry, PBE.

Unit cell a=5.2136 b=8.5675 c=8.5675 alpha=110.90 beta=90.00 gamma=90.00
With the nearest neighbours (Å) after each atom.
Fractional positions:
Zn 0.8729 0.9316 0.5818  4 Au 2.76-2.82, 4 Zn 2.82-3.02, 2 Ga 2.90-3.01
Zn 0.3729 0.5818 0.9316  4 Au 2.76-2.82, 4 Zn 2.82-3.02, 2 Ga 2.90-3.01
Zn 0.6387 0.0059 0.9941  4 Zn 2.61-2.86, 4 Au 2.83-2.86
Zn 0.1202 0.7066 0.7062  5 Zn 2.61-2.86, 4 Au 2.65-2.66
Au 0.3719 0.3036 0.0275  8 Zn 2.65-2.86, 1 Ga 2.70
Au 0.3690 0.4183 0.5817  1 Ga 2.65, 7 Zn 2.65-2.82
Ga 0.1081 0.2569 0.7431  1 Zn 2.44, 3 Au 2.65-2.70
Zn 0.1394 0.7436 0.2564  1 Ga 2.44, 3 Au 2.68-2.71
Au 0.3719 0.9725 0.6964  8 Zn 2.65-2.86, 1 Ga 2.70
Zn 0.1202 0.2938 0.2934  5 Zn 2.61-2.86, 4 Au 2.65-2.66
Au 0.8719 0.0275 0.3036  8 Zn 2.65-2.86, 1 Ga 2.70
Zn 0.6202 0.2934 0.2938  5 Zn 2.61-2.86, 4 Au 2.65-2.66
Zn 0.6394 0.2564 0.7436  1 Ga 2.44, 3 Au 2.68-2.71
Ga 0.6081 0.7431 0.2569  1 Zn 2.44, 3 Au 2.65-2.70
Au 0.8719 0.6964 0.9725  8 Zn 2.65-2.86, 1 Ga 2.70
Zn 0.6202 0.7062 0.7066  5 Zn 2.61-2.86, 4 Au 2.65-2.66
Zn 0.8729 0.4182 0.0684  4 Au 2.76-2.82, 4 Zn 2.82-3.02, 2 Ga 2.90-3.01
Zn 0.3729 0.0684 0.4182  4 Au 2.76-2.82, 4 Zn 2.82-3.02, 2 Ga 2.90-3.01
Zn 0.1387 0.9941 0.0059  4 Zn 2.61-2.86, 4 Au 2.83-2.86
Au 0.8690 0.5817 0.4183  1 Ga 2.65, 7 Zn 2.65-2.82

The calculation puts the total magnetization at 0.0 μB per formula unit. As for the formation enthalpy at 0 K: -0.095 eV/atom. The crystal system is orthorhombic. Its energy is -42.91 eV per cell.

# 3
Zn3GaAu2: optimized geometry, PBE.

Unit cell a=7.7453 b=5.5372 c=7.1593 alpha=112.75 beta=122.75 gamma=90.00
With the nearest neighbours (Å) after each atom.
Fractional positions:
Zn 0.2360 0.9860 0.4720  4 Au 2.62-2.72, 3 Zn 2.77-2.82, 2 Ga 2.88
Zn 0.5000 0.2500 0.0000  4 Au 2.70, 4 Zn 2.77-2.82
Ga 0.0000 0.5000 0.0000  2 Au 2.57, 2 Ga 2.77
Zn 0.5000 0.7500 0.0000  4 Au 2.70, 4 Zn 2.77-2.82
Zn 0.7640 0.0140 0.5280  4 Au 2.62-2.72, 3 Zn 2.77-2.82, 2 Ga 2.88
Zn 0.7640 0.5140 0.5280  4 Au 2.62-2.72, 3 Zn 2.77-2.82, 2 Ga 2.88
Au 0.8680 0.1387 0.2774  1 Ga 2.57, 6 Zn 2.62-2.72
Au 0.1320 0.8613 0.7226  1 Ga 2.57, 6 Zn 2.62-2.72
Ga 0.0000 0.0000 0.0000  2 Au 2.57, 2 Ga 2.77
Au 0.5906 0.3613 0.7226  1 Ga 2.57, 6 Zn 2.62-2.72
Zn 0.2360 0.4860 0.4720  4 Au 2.62-2.72, 3 Zn 2.77-2.82, 2 Ga 2.88
Au 0.4094 0.6387 0.2774  1 Ga 2.57, 6 Zn 2.62-2.72

The calculation puts the total magnetization at 0.0 μB per formula unit. As for the energy above the most stable polymorph in this dataset: 70 meV per atom. As for the formation enthalpy at 0 K: -0.090 eV/atom. The crystal system is orthorhombic. Its energy is -27.88 eV per cell.

# 4
Zn3Ga2Au8: optimized geometry, PBE.

Unit cell a=4.3045 b=8.8575 c=7.6473 alpha=124.48 beta=90.00 gamma=90.00
With the nearest neighbours (Å) after each atom.
Fractional positions:
Zn 0.0000 0.2418 0.9950  8 Au 2.68-2.79
Au 0.0000 0.6105 0.2288  2 Ga 2.64, 2 Zn 2.68-2.69, 1 Au 2.88
Au 0.5000 0.6267 0.7444  2 Ga 2.64-2.74, 3 Zn 2.71-2.73
Au 0.0000 0.3895 0.7712  2 Ga 2.64, 2 Zn 2.68-2.69, 1 Au 2.88
Ga 0.5000 0.7340 0.4721  8 Au 2.62-2.76
Au 0.0000 0.8601 0.7227  2 Ga 2.67, 4 Zn 2.77-2.79
Au 0.5000 0.1117 0.7368  2 Ga 2.62-2.76, 3 Zn 2.70
Ga 0.5000 0.2660 0.5279  8 Au 2.62-2.76
Zn 0.5000 0.0000 0.0000  8 Au 2.70-2.77
Au 0.5000 0.3733 0.2556  2 Ga 2.64-2.74, 3 Zn 2.71-2.73
Au 0.5000 0.8883 0.2632  2 Ga 2.62-2.76, 3 Zn 2.70
Au 0.0000 0.1399 0.2773  2 Ga 2.67, 4 Zn 2.77-2.79
Zn 0.0000 0.7582 0.0050  8 Au 2.68-2.79

The calculation puts the total magnetization at 0.0 μB per formula unit. As for the formation enthalpy at 0 K: -0.133 eV/atom. The crystal system is monoclinic. Its energy is -37.83 eV per cell.

# 5
ZnGa3Au6: optimized geometry, PBE.

Unit cell a=3.0678 b=11.7768 c=11.6145 alpha=121.76 beta=90.00 gamma=90.00
With the nearest neighbours (Å) after each atom.
Fractional positions:
Au 0.2500 0.7043 0.0208  3 Ga 2.64-2.65, 1 Zn 2.72
Au 0.7500 0.9473 0.0778  3 Ga 2.87, 2 Zn 2.94, 8 Au 2.98-3.08
Ga 0.7500 0.5090 0.8404  5 Au 2.64-2.75
Au 0.2500 0.8912 0.5018  3 Zn 2.80, 8 Au 2.98-3.07, 2 Ga 2.99
Au 0.7500 0.5678 0.6407  5 Ga 2.67-2.78, 1 Au 2.93
Ga 0.7500 0.6453 0.4337  4 Au 2.61-2.71
Ga 0.2500 0.4910 0.1596  5 Au 2.64-2.75
Zn 0.7500 0.0793 0.7219  9 Au 2.66-2.94
Au 0.7500 0.2957 0.9792  3 Ga 2.64-2.65, 1 Zn 2.72
Au 0.2500 0.2926 0.7600  3 Ga 2.69-2.71, 2 Zn 2.77, 2 Au 2.96
Ga 0.7500 0.2238 0.1607  8 Au 2.65-2.87
Au 0.7500 0.1088 0.4982  3 Zn 2.80, 8 Au 2.98-3.07, 2 Ga 2.99
Zn 0.2500 0.9207 0.2781  9 Au 2.66-2.94
Ga 0.2500 0.7762 0.8393  8 Au 2.65-2.87
Au 0.7500 0.7074 0.2400  3 Ga 2.69-2.71, 2 Zn 2.77, 2 Au 2.96
Au 0.2500 0.1621 0.3119  3 Ga 2.61-2.70, 1 Zn 2.66
Au 0.2500 0.4322 0.3593  5 Ga 2.67-2.78, 1 Au 2.93
Au 0.7500 0.8379 0.6881  3 Ga 2.61-2.70, 1 Zn 2.66
Au 0.2500 0.0527 0.9222  3 Ga 2.87, 2 Zn 2.94, 8 Au 2.98-3.08
Ga 0.2500 0.3547 0.5663  4 Au 2.61-2.71

The calculation puts the total magnetization at 0.0 μB per formula unit. As for the energy above the most stable polymorph in this dataset: 0 meV per atom. As for the formation enthalpy at 0 K: -0.149 eV/atom. The crystal system is monoclinic. Its energy is -63.01 eV per cell.

# 6
Zn2GaAu2: optimized geometry, PBE.

Unit cell a=3.6841 b=3.6841 c=7.1631 alpha=75.10 beta=75.10 gamma=90.00
With the nearest neighbours (Å) after each atom.
Fractional positions:
Ga 0.0000 0.0000 0.0000  8 Au 2.95
Au 0.6044 0.6044 0.7912  4 Zn 2.68, 1 Au 2.79, 4 Ga 2.95
Au 0.3956 0.3956 0.2088  4 Zn 2.68, 1 Au 2.79, 4 Ga 2.95
Zn 0.2500 0.7500 0.5000  4 Zn 2.61, 4 Au 2.68
Zn 0.7500 0.2500 0.5000  4 Zn 2.61, 4 Au 2.68

The calculation puts the total magnetization at 0.0 μB per formula unit. As for the energy above the most stable polymorph in this dataset: 68 meV per atom. As for the formation enthalpy at 0 K: -0.112 eV/atom. The crystal system is tetragonal. Its energy is -12.69 eV per cell.